No. 1
Computed, not measured: crystalline CoCu2RuAu at its relaxed geometry at the GGA-PBE level of DFT.

Geometry as POSCAR:
```
CoCu2RuAu
1.0
4.635 0.000 0.000
0.000 4.635 0.000
0.000 0.000 4.988
Co Cu Ru Au
1 2 1 1
Direct
0.000 0.000 0.000 Co
0.000 0.500 0.500 Cu
0.500 0.000 0.500 Cu
0.500 0.500 0.000 Ru
0.500 0.500 0.500 Au
```

Results
As for the total magnetization: 3.99 μB/f.u. For the formation enthalpy at 0 K, the calculation gives 1.680 eV per atom.

---

No. 2
Computed, not measured: crystalline CoCuSnAu at its relaxed geometry at the GGA-PBE level of DFT.

Geometry as POSCAR:
```
CoCuSnAu
1.0
0.000 3.136 3.136
3.136 0.000 3.136
3.136 3.136 0.000
Co Cu Sn Au
1 1 1 1
Direct
0.000 0.000 0.000 Co
0.500 0.500 0.500 Cu
0.250 0.250 0.250 Sn
0.750 0.750 0.750 Au
```

Results
As for the total magnetization: 0.65 μB/f.u. For the formation enthalpy at 0 K, the calculation gives 0.091 eV per atom.

---

No. 3
Computed, not measured: crystalline CoCuSn2Au at its relaxed geometry at the GGA-PBE level of DFT.

Geometry as POSCAR:
```
CoCuSn2Au
1.0
4.749 0.000 0.000
0.000 4.749 0.000
0.000 0.000 4.990
Co Cu Sn Au
1 1 2 1
Direct
0.000 0.000 0.000 Co
0.500 0.500 0.500 Cu
0.000 0.500 0.000 Sn
0.500 0.000 0.000 Sn
0.000 0.000 0.500 Au
```

Results
As for the total magnetization: 0.00 μB/f.u. For the formation enthalpy at 0 K, the calculation gives 0.440 eV per atom.

---

No. 4
Computed, not measured: crystalline TaCoCuAu at its relaxed geometry at the GGA-PBE level of DFT.

Geometry as POSCAR:
```
TaCoCuAu
1.0
0.000 3.068 3.068
3.068 0.000 3.068
3.068 3.068 0.000
Ta Co Cu Au
1 1 1 1
Direct
0.000 0.000 0.000 Ta
0.250 0.250 0.250 Co
0.750 0.750 0.750 Cu
0.500 0.500 0.500 Au
```

Results
As for the total magnetization: 1.03 μB/f.u. For the formation enthalpy at 0 K, the calculation gives 0.057 eV per atom.

---

No. 5
Computed, not measured: crystalline Th2CoCuAu at its relaxed geometry at the GGA-PBE level of DFT.

Geometry as POSCAR:
```
Th2CoCuAu
1.0
7.801 0.000 0.000
0.000 3.899 0.000
-3.123 0.000 7.150
Th Co Cu Au
4 2 2 2
Direct
0.008 0.250 0.219 Th
0.360 0.750 0.631 Th
0.640 0.250 0.369 Th
0.992 0.750 0.781 Th
0.106 0.250 0.609 Co
0.894 0.750 0.391 Co
0.366 0.250 0.941 Cu
0.634 0.750 0.059 Cu
0.313 0.750 0.184 Au
0.687 0.250 0.816 Au
```

Results
As for the total magnetization: 0.00 μB/f.u. For the formation enthalpy at 0 K, the calculation gives -0.405 eV per atom.

---

No. 6
Computed, not measured: crystalline ZrCoCuAu at its relaxed geometry at the GGA-PBE level of DFT.

Geometry as POSCAR:
```
ZrCoCuAu
1.0
0.000 3.142 3.142
3.142 0.000 3.142
3.142 3.142 0.000
Zr Co Cu Au
1 1 1 1
Direct
0.000 0.000 0.000 Zr
0.750 0.750 0.750 Co
0.250 0.250 0.250 Cu
0.500 0.500 0.500 Au
```

Results
As for the total magnetization: 0.88 μB/f.u. For the formation enthalpy at 0 K, the calculation gives -0.165 eV per atom.

---

No. 7
Computed, not measured: crystalline ZrCoCuAu2 at its relaxed geometry at the GGA-PBE level of DFT.

Geometry as POSCAR:
```
ZrCoCuAu2
1.0
4.697 0.000 0.000
0.000 4.697 0.000
0.000 0.000 4.356
Zr Co Cu Au
1 1 1 2
Direct
0.000 0.000 0.000 Zr
0.500 0.500 0.000 Co
0.500 0.500 0.500 Cu
0.000 0.500 0.500 Au
0.500 0.000 0.500 Au
```

Results
As for the total magnetization: 1.76 μB/f.u. For the formation enthalpy at 0 K, the calculation gives 0.552 eV per atom.

---

No. 8
Computed, not measured: crystalline Dy7Co2Au2 at its relaxed geometry at the GGA-PBE level of DFT.

Geometry as POSCAR:
```
Dy7Co2Au2
1.0
3.806 -5.383 0.000
3.806 5.383 0.000
0.000 0.000 6.892
Dy Co Au
7 2 2
Direct
0.000 0.000 0.000 Dy
0.000 0.500 0.250 Dy
0.000 0.500 0.750 Dy
0.500 0.000 0.250 Dy
0.500 0.000 0.750 Dy
0.500 0.500 0.243 Dy
0.500 0.500 0.757 Dy
0.293 0.707 0.000 Co
0.707 0.293 0.000 Co
0.187 0.187 0.500 Au
0.813 0.813 0.500 Au
```

Results
As for the total magnetization: 0.00 μB/f.u. For the formation enthalpy at 0 K, the calculation gives -0.303 eV per atom.

---

No. 9
Computed, not measured: crystalline Dy5CoAu2 at its relaxed geometry at the GGA-PBE level of DFT.

Geometry as POSCAR:
```
Dy5CoAu2
1.0
8.632 0.000 0.000
0.000 11.672 0.000
0.000 0.000 4.011
Dy Co Au
10 2 4
Direct
0.000 0.000 0.000 Dy
0.149 0.304 0.000 Dy
0.175 0.578 0.500 Dy
0.325 0.078 0.500 Dy
0.351 0.804 0.000 Dy
0.500 0.500 0.000 Dy
0.649 0.196 0.000 Dy
0.675 0.922 0.500 Dy
0.825 0.422 0.500 Dy
0.851 0.696 0.000 Dy
0.000 0.500 0.000 Co
0.500 0.000 0.000 Co
0.065 0.823 0.500 Au
0.435 0.323 0.500 Au
0.565 0.677 0.500 Au
0.935 0.177 0.500 Au
```

Results
As for the total magnetization: 0.00 μB/f.u. For the formation enthalpy at 0 K, the calculation gives -0.531 eV per atom.

---

No. 10
Computed, not measured: crystalline Dy3CoAu at its relaxed geometry at the GGA-PBE level of DFT.

Geometry as POSCAR:
```
Dy3CoAu
1.0
7.878 -1.890 0.000
7.878 1.890 0.000
-0.213 0.000 8.083
Dy Co Au
6 2 2
Direct
0.057 0.057 0.302 Dy
0.244 0.244 0.700 Dy
0.397 0.397 0.052 Dy
0.603 0.603 0.948 Dy
0.756 0.756 0.300 Dy
0.943 0.943 0.698 Dy
0.215 0.215 0.060 Co
0.785 0.785 0.940 Co
0.399 0.399 0.429 Au
0.601 0.601 0.571 Au
```

Results
The calculation puts the polymorph energy (0 for the lowest one) at 0 meV/atom. As for the total magnetization: 0.00 μB/f.u. For the formation enthalpy at 0 K, the calculation gives -0.438 eV per atom.

---

No. 11
Computed, not measured: crystalline Dy8Co2Au at its relaxed geometry at the GGA-PBE level of DFT.

Geometry as POSCAR:
```
Dy8Co2Au
1.0
4.197 -6.389 0.000
4.197 6.389 0.000
-1.429 0.000 5.286
Dy Co Au
8 2 1
Direct
0.071 0.332 0.584 Dy
0.238 0.762 0.000 Dy
0.332 0.071 0.584 Dy
0.377 0.377 0.192 Dy
0.623 0.623 0.808 Dy
0.668 0.929 0.416 Dy
0.762 0.238 0.000 Dy
0.929 0.668 0.416 Dy
0.303 0.697 0.500 Co
0.697 0.303 0.500 Co
0.000 0.000 0.000 Au
```

Results
As for the total magnetization: 0.00 μB/f.u. For the formation enthalpy at 0 K, the calculation gives -0.159 eV per atom.

---

No. 12
Computed, not measured: crystalline Dy3CoAu at its relaxed geometry at the GGA-PBE level of DFT.

Geometry as POSCAR:
```
Dy3CoAu
1.0
5.022 -3.151 0.000
5.022 3.151 0.000
-3.728 0.000 7.552
Dy Co Au
6 2 2
Direct
0.019 0.019 0.218 Dy
0.293 0.293 0.669 Dy
0.318 0.318 0.140 Dy
0.682 0.682 0.860 Dy
0.707 0.707 0.331 Dy
0.981 0.981 0.782 Dy
0.316 0.684 0.000 Co
0.684 0.316 0.000 Co
0.272 0.728 0.500 Au
0.728 0.272 0.500 Au
```

Results
The calculation puts the polymorph energy (0 for the lowest one) at 27 meV/atom. As for the total magnetization: 0.00 μB/f.u. For the formation enthalpy at 0 K, the calculation gives -0.411 eV per atom.

---

> What is the formula in the third record?

CoCuSn2Au

---

> Which formula does entry 11 have?

Dy8Co2Au

---

> formation enthalpy at 0 K of number 5 (Th2CoCuAu)?

-0.405 eV per atom

---

> formation enthalpy at 0 K of number 9 (Dy5CoAu2)?

-0.531 eV per atom